[1]
# Pr2Ni4SbAs3 | Alexandria via LeMat-Bulk | GGA-PBE | optimized geometry
# Calculated volume: 178 Å³ per cell
# Density of states at the Fermi level: 4.79 states/eV/f.u.
# Space group: No. 115
# Formation energy without anion corrections: -0.750 eV/atom
# Total magnetic moment: 0.0 μB/cell
data_Pr2Ni4SbAs3
_chemical_formula_sum 'Pr2 Ni4 Sb1 As3'
_cell_length_a 4.261
_cell_length_b 4.261
_cell_length_c 9.831
_cell_angle_alpha 90.00
_cell_angle_beta 90.00
_cell_angle_gamma 90.00
_space_group_name_H-M_alt 'P 1'
_space_group_IT_number 1
loop_
_space_group_symop_operation_xyz
'x,y,z'
loop_
_atom_site_label
_atom_site_fract_x
_atom_site_fract_y
_atom_site_fract_z
Pr1 0.000 0.500 0.235
Pr2 0.500 0.000 0.765
Ni1 0.000 0.000 0.000
Ni2 0.000 0.500 0.634
Ni3 0.500 0.000 0.366
Ni4 0.500 0.500 0.000
Sb1 0.000 0.000 0.500
As1 0.000 0.500 0.876
As2 0.500 0.000 0.124
As3 0.500 0.500 0.500

[2]
# Pr2Ni4Sb3As | Alexandria via LeMat-Bulk | GGA-PBE | optimized geometry
# Calculated volume: 195 Å³ per cell
# Density of states at the Fermi level: 4.05 states/eV/f.u.
# Space group: No. 115
# Formation energy without anion corrections: -0.688 eV/atom
# Total magnetic moment: 0.0 μB/cell
data_Pr2Ni4Sb3As
_chemical_formula_sum 'Pr2 Ni4 Sb3 As1'
_cell_length_a 4.439
_cell_length_b 4.439
_cell_length_c 9.903
_cell_angle_alpha 90.00
_cell_angle_beta 90.00
_cell_angle_gamma 90.00
_space_group_name_H-M_alt 'P 1'
_space_group_IT_number 1
loop_
_space_group_symop_operation_xyz
'x,y,z'
loop_
_atom_site_label
_atom_site_fract_x
_atom_site_fract_y
_atom_site_fract_z
Pr1 0.000 0.500 0.249
Pr2 0.500 0.000 0.751
Ni1 0.000 0.000 0.000
Ni2 0.000 0.500 0.615
Ni3 0.500 0.000 0.385
Ni4 0.500 0.500 0.000
Sb1 0.000 0.500 0.871
Sb2 0.500 0.000 0.129
Sb3 0.500 0.500 0.500
As1 0.000 0.000 0.500

[3]
# Pr2Ni4SnAs3 | Alexandria via LeMat-Bulk | GGA-PBE | optimized geometry
# Calculated volume: 178 Å³ per cell
# Density of states at the Fermi level: 5.65 states/eV/f.u.
# ΔE_f: -738 meV per atom
# Space group: No. 115
# Total magnetic moment: 0.0 μB/cell
data_Pr2Ni4SnAs3
_chemical_formula_sum 'Pr2 Ni4 Sn1 As3'
_cell_length_a 4.202
_cell_length_b 4.202
_cell_length_c 10.061
_cell_angle_alpha 90.00
_cell_angle_beta 90.00
_cell_angle_gamma 90.00
_space_group_name_H-M_alt 'P 1'
_space_group_IT_number 1
loop_
_space_group_symop_operation_xyz
'x,y,z'
loop_
_atom_site_label
_atom_site_fract_x
_atom_site_fract_y
_atom_site_fract_z
Pr1 0.000 0.500 0.234
Pr2 0.500 0.000 0.766
Ni1 0.000 0.000 0.000
Ni2 0.000 0.500 0.640
Ni3 0.500 0.000 0.360
Ni4 0.500 0.500 0.000
Sn1 0.000 0.000 0.500
As1 0.000 0.500 0.875
As2 0.500 0.000 0.125
As3 0.500 0.500 0.500

[4]
# SrPrNi2As2 | Alexandria via LeMat-Bulk | GGA-PBE | optimized geometry
# Calculated volume: 127 Å³ per cell
# Density of states at the Fermi level: 3.34 states/eV/f.u.
# ΔE_f: -917 meV per atom
# Space group: No. 164
# Total magnetic moment: 0.0 μB/cell
data_SrPrNi2As2
_chemical_formula_sum 'Sr1 Pr1 Ni2 As2'
_cell_length_a 4.127
_cell_length_b 4.127
_cell_length_c 8.579
_cell_angle_alpha 90.00
_cell_angle_beta 90.00
_cell_angle_gamma 120.00
_space_group_name_H-M_alt 'P 1'
_space_group_IT_number 1
loop_
_space_group_symop_operation_xyz
'x,y,z'
loop_
_atom_site_label
_atom_site_fract_x
_atom_site_fract_y
_atom_site_fract_z
Sr1 0.000 0.000 0.000
Pr1 0.000 0.000 0.500
Ni1 0.333 0.667 0.734
Ni2 0.667 0.333 0.266
As1 0.333 0.667 0.260
As2 0.667 0.333 0.740

[5]
# PrTmNi2As2 | Alexandria via LeMat-Bulk | GGA-PBE | optimized geometry
# Calculated volume: 114 Å³ per cell
# Density of states at the Fermi level: 2.66 states/eV/f.u.
# ΔE_f: -1031 meV per atom
# Space group: No. 164
# Total magnetic moment: 0.0 μB/cell
data_PrTmNi2As2
_chemical_formula_sum 'Pr1 Tm1 Ni2 As2'
_cell_length_a 4.087
_cell_length_b 4.087
_cell_length_c 7.862
_cell_angle_alpha 90.00
_cell_angle_beta 90.00
_cell_angle_gamma 120.00
_space_group_name_H-M_alt 'P 1'
_space_group_IT_number 1
loop_
_space_group_symop_operation_xyz
'x,y,z'
loop_
_atom_site_label
_atom_site_fract_x
_atom_site_fract_y
_atom_site_fract_z
Pr1 0.000 0.000 0.000
Tm1 0.000 0.000 0.500
Ni1 0.333 0.667 0.734
Ni2 0.667 0.333 0.266
As1 0.333 0.667 0.264
As2 0.667 0.333 0.736

[6]
# Pr2ZnNi4As3 | Alexandria via LeMat-Bulk | GGA-PBE | optimized geometry
# Calculated volume: 168 Å³ per cell
# Density of states at the Fermi level: 6.47 states/eV/f.u.
# ΔE_f: -762 meV per atom
# Space group: No. 115
# Total magnetic moment: 0.0 μB/cell
data_Pr2ZnNi4As3
_chemical_formula_sum 'Pr2 Zn1 Ni4 As3'
_cell_length_a 4.159
_cell_length_b 4.159
_cell_length_c 9.722
_cell_angle_alpha 90.00
_cell_angle_beta 90.00
_cell_angle_gamma 90.00
_space_group_name_H-M_alt 'P 1'
_space_group_IT_number 1
loop_
_space_group_symop_operation_xyz
'x,y,z'
loop_
_atom_site_label
_atom_site_fract_x
_atom_site_fract_y
_atom_site_fract_z
Pr1 0.000 0.500 0.244
Pr2 0.500 0.000 0.756
Zn1 0.000 0.000 0.500
Ni1 0.000 0.000 0.000
Ni2 0.000 0.500 0.626
Ni3 0.500 0.000 0.374
Ni4 0.500 0.500 0.000
As1 0.000 0.500 0.869
As2 0.500 0.000 0.131
As3 0.500 0.500 0.500

[7]
# NiAs2Pt | Alexandria via LeMat-Bulk | GGA-PBE | optimized geometry
# Calculated volume: 78 Å³ per cell
# E above lowest polymorph: 148 meV/atom
# Density of states at the Fermi level: 2.53 states/eV/f.u.
# ΔE_f: -129 meV per atom
# Space group: No. 6
# Total magnetic moment: 0.0 μB/cell
data_NiAs2Pt
_chemical_formula_sum 'Ni1 As2 Pt1'
_cell_length_a 3.928
_cell_length_b 3.927
_cell_length_c 5.032
_cell_angle_alpha 90.00
_cell_angle_beta 90.08
_cell_angle_gamma 90.00
_space_group_name_H-M_alt 'P 1'
_space_group_IT_number 1
loop_
_space_group_symop_operation_xyz
'x,y,z'
loop_
_atom_site_label
_atom_site_fract_x
_atom_site_fract_y
_atom_site_fract_z
Ni1 0.000 0.000 0.000
As1 0.001 0.500 0.289
As2 0.500 0.000 0.711
Pt1 0.500 0.500 0.000

[8]
# NiAsPt2 | Alexandria via LeMat-Bulk | GGA-PBE | optimized geometry
# Calculated volume: 60 Å³ per cell
# Density of states at the Fermi level: 3.19 states/eV/f.u.
# ΔE_f: -38 meV per atom
# Space group: No. 65
# Total magnetic moment: 0.7 μB/cell
data_NiAsPt2
_chemical_formula_sum 'Ni1 As1 Pt2'
_cell_length_a 4.305
_cell_length_b 4.305
_cell_length_c 3.298
_cell_angle_alpha 90.00
_cell_angle_beta 90.00
_cell_angle_gamma 101.89
_space_group_name_H-M_alt 'P 1'
_space_group_IT_number 1
loop_
_space_group_symop_operation_xyz
'x,y,z'
loop_
_atom_site_label
_atom_site_fract_x
_atom_site_fract_y
_atom_site_fract_z
Ni1 0.000 0.000 0.000
As1 0.500 0.500 0.000
Pt1 0.000 0.500 0.500
Pt2 0.500 0.000 0.500

[9]
# NiAsPt2 | Alexandria via LeMat-Bulk | GGA-PBE | optimized geometry
# Calculated volume: 59 Å³ per cell
# Density of states at the Fermi level: 3.46 states/eV/f.u.
# ΔE_f: -81 meV per atom
# Space group: No. 44
# Total magnetic moment: 0.0 μB/cell
data_NiAsPt2
_chemical_formula_sum 'Ni1 As1 Pt2'
_cell_length_a 5.080
_cell_length_b 5.080
_cell_length_c 5.080
_cell_angle_alpha 143.50
_cell_angle_beta 129.86
_cell_angle_gamma 63.59
_space_group_name_H-M_alt 'P 1'
_space_group_IT_number 1
loop_
_space_group_symop_operation_xyz
'x,y,z'
loop_
_atom_site_label
_atom_site_fract_x
_atom_site_fract_y
_atom_site_fract_z
Ni1 0.000 0.000 0.000
As1 0.791 0.291 0.500
Pt1 0.282 0.782 0.500
Pt2 0.562 0.562 0.000

[10]
# NiAs2Pt | Alexandria via LeMat-Bulk | GGA-PBE | optimized geometry
# Calculated volume: 66 Å³ per cell
# E above lowest polymorph: 199 meV/atom
# Density of states at the Fermi level: 2.19 states/eV/f.u.
# ΔE_f: -78 meV per atom
# Space group: No. 166
# Total magnetic moment: 0.0 μB/cell
data_NiAs2Pt
_chemical_formula_sum 'Ni1 As2 Pt1'
_cell_length_a 6.132
_cell_length_b 6.132
_cell_length_c 6.132
_cell_angle_alpha 34.39
_cell_angle_beta 34.39
_cell_angle_gamma 34.39
_space_group_name_H-M_alt 'P 1'
_space_group_IT_number 1
loop_
_space_group_symop_operation_xyz
'x,y,z'
loop_
_atom_site_label
_atom_site_fract_x
_atom_site_fract_y
_atom_site_fract_z
Ni1 0.000 0.000 0.000
As1 0.257 0.257 0.257
As2 0.743 0.743 0.743
Pt1 0.500 0.500 0.500

Question: What is the formula in the third record?
Answer: Pr2Ni4SnAs3